No. 1
Below is an optimized crystal structure of Ac3As, with properties calculated at the PBE level.

Unit cell a=4.160 b=10.457 c=7.070 alpha=90.00 beta=90.00 gamma=90.00
Space group Imm2 (No. 44)
Inequivalent atoms, fractional coordinates:
1 Ac 0.000 0.000 0.000 (multiplicity 2)
2 Ac 0.000 0.188 0.449 (multiplicity 4)
3 As 0.000 0.500 0.176 (multiplicity 2)

## Properties
volume = 307.6 Å³/cell
offset from the most stable computed form = 40 meV/atom
spin magnetization = 0.0 Bohr magnetons per cell
energy of formation = -2.16 eV/f.u.

***

No. 2
Below is an optimized crystal structure of AcAs4, with properties calculated at the PBE level.

Unit cell a=5.885 b=5.885 c=5.885 alpha=90.00 beta=90.00 gamma=90.00
Space group Pm-3m (No. 221)
Inequivalent atoms, fractional coordinates:
1 Ac 0.000 0.000 0.000 (multiplicity 1)
2 As 0.000 0.000 0.500 (multiplicity 3)
3 As 0.500 0.500 0.500 (multiplicity 1)

## Properties
volume = 203.8 Å³/cell
spin magnetization = 0.4 Bohr magnetons per cell
energy of formation = 5.68 eV/f.u.

***

No. 3
Below is an optimized crystal structure of AcAs2, with properties calculated at the PBE level.

Unit cell a=6.164 b=6.190 c=4.830 alpha=90.00 beta=114.02 gamma=90.00
Space group C2/m (No. 12)
Inequivalent atoms, fractional coordinates:
1 Ac 0.000 0.000 0.000 (multiplicity 2)
2 As 0.082 0.500 0.289 (multiplicity 4)

## Properties
volume = 168.3 Å³/cell
offset from the most stable computed form = 50 meV/atom
spin magnetization = 0.0 Bohr magnetons per cell
energy of formation = -2.57 eV/f.u.

***

No. 4
Below is an optimized crystal structure of AcAs2, with properties calculated at the PBE level.

Unit cell a=8.413 b=8.413 c=8.413 alpha=90.00 beta=90.00 gamma=90.00
Space group Fd-3m (No. 227, origin choice 2)
Inequivalent atoms, fractional coordinates:
1 Ac 0.125 0.125 0.125 (multiplicity 8)
2 As 0.000 0.000 0.500 (multiplicity 16)

## Properties
volume = 595.4 Å³/cell
offset from the most stable computed form = 397 meV/atom
spin magnetization = 0.0 Bohr magnetons per cell
energy of formation = -1.53 eV/f.u.

***

No. 5
Below is an optimized crystal structure of AcAs5, with properties calculated at the PBE level.

Unit cell a=4.928 b=10.628 c=6.220 alpha=90.00 beta=108.47 gamma=90.00
Space group P2_1/m (No. 11)
Inequivalent atoms, fractional coordinates:
1 Ac 0.146 0.250 0.423 (multiplicity 2)
2 As 0.255 0.250 0.943 (multiplicity 2)
3 As 0.277 0.557 0.388 (multiplicity 4)
4 As 0.355 0.593 0.014 (multiplicity 4)

## Properties
volume = 309.0 Å³/cell
offset from the most stable computed form = 0 meV/atom
spin magnetization = 0.0 Bohr magnetons per cell
energy of formation = -2.93 eV/f.u.

***

No. 6
Below is an optimized crystal structure of AcAs3, with properties calculated at the PBE level.

Unit cell a=4.356 b=4.356 c=11.840 alpha=90.00 beta=90.00 gamma=90.00
Space group I4/mmm (No. 139)
Inequivalent atoms, fractional coordinates:
1 Ac 0.000 0.000 0.000 (multiplicity 2)
2 As 0.000 0.000 0.271 (multiplicity 4)
3 As 0.000 0.000 0.500 (multiplicity 2)

## Properties
volume = 224.6 Å³/cell
offset from the most stable computed form = 169 meV/atom
spin magnetization = 0.0 Bohr magnetons per cell
energy of formation = -1.74 eV/f.u.

***

No. 7
Below is an optimized crystal structure of Ac4As, with properties calculated at the PBE level.

Unit cell a=6.099 b=6.099 c=6.099 alpha=90.00 beta=90.00 gamma=90.00
Space group Pm-3m (No. 221)
Inequivalent atoms, fractional coordinates:
1 Ac 0.000 0.000 0.000 (multiplicity 1)
2 Ac 0.000 0.500 0.500 (multiplicity 3)
3 As 0.500 0.500 0.500 (multiplicity 1)

## Properties
volume = 226.9 Å³/cell
spin magnetization = 0.0 Bohr magnetons per cell
energy of formation = -1.79 eV/f.u.

***

No. 8
Below is an optimized crystal structure of Ac3As, with properties calculated at the PBE level.

Unit cell a=4.408 b=4.408 c=17.570 alpha=90.00 beta=90.00 gamma=90.00
Space group I4/mmm (No. 139)
Inequivalent atoms, fractional coordinates:
1 Ac 0.000 0.000 0.000 (multiplicity 2)
2 Ac 0.000 0.000 0.324 (multiplicity 4)
3 As 0.000 0.000 0.500 (multiplicity 2)

## Properties
volume = 341.3 Å³/cell
offset from the most stable computed form = 0 meV/atom
spin magnetization = 0.0 Bohr magnetons per cell
energy of formation = -2.33 eV/f.u.